MnAlTe: single point on PBEsol structure, SCAN.

abc: 4.2541 4.2541 4.2541
angles: 60.00 60.00 60.00
With the nearest neighbours (Å) after each atom.
Fractional coordinates of all 3 atoms:
1 Mn 0.0000 0.0000 0.0000  4 Te 2.61, 4 Al 2.61
2 Al 0.7500 0.7500 0.7500  4 Mn 2.61
3 Te 0.2500 0.2500 0.2500  4 Mn 2.61

Computed properties:
E above lowest polymorph	0.000	eV/atom
electronic total energy	-21.04	eV/atom
raw formation energy	46	meV per atom

***

MnAl2Te4: single point on PBEsol structure, SCAN.

abc: 7.3937 7.3937 7.3937
angles: 133.00 133.00 68.66
With the nearest neighbours (Å) after each atom.
Fractional coordinates of all 7 atoms:
1 Mn 0.0000 0.0000 0.0000  4 Te 2.68
2 Al 0.2500 0.7500 0.5000  4 Te 2.64
3 Al 0.7500 0.2500 0.5000  4 Te 2.64
4 Te 0.1536 0.1536 0.5424  2 Al 2.64, 1 Mn 2.68
5 Te 0.3889 0.8464 0.0000  2 Al 2.64, 1 Mn 2.68
6 Te 0.6111 0.6111 0.4576  2 Al 2.64, 1 Mn 2.68
7 Te 0.8464 0.3889 0.0000  2 Al 2.64, 1 Mn 2.68

Computed properties:
electronic total energy	-26.63	eV/atom
raw formation energy	-524	meV per atom

***

MnAl2Tl: single point on PBEsol structure, SCAN.

abc: 4.1095 4.1095 4.0479
angles: 90.00 90.00 90.00
With the nearest neighbours (Å) after each atom.
Fractional coordinates of all 4 atoms:
1 Mn 0.0000 0.0000 0.0000  8 Al 2.88, 4 Tl 2.91
2 Al 0.0000 0.5000 0.5000  4 Tl 2.88, 4 Mn 2.88, 4 Al 2.91
3 Al 0.5000 0.0000 0.5000  4 Tl 2.88, 4 Mn 2.88, 4 Al 2.91
4 Tl 0.5000 0.5000 0.0000  8 Al 2.88, 4 Mn 2.91

Computed properties:
E above lowest polymorph	0.000	eV/atom
electronic total energy	-26.44	eV/atom
DFT formation energy	88	meV per atom